A plane-wave DFT calculation with PBE was carried out for an optimized crystal structure of CsRhC2.

The space group is I4_1/amd (No. 141, origin choice 2) and the conventional cell measures 6.2065, 6.2065 and 8.7988 Å, with angles of 90.00, 90.00 and 90.00 degrees. The inequivalent atoms are Cs at (0.0000, 0.2500, 0.3750), Rh at (0.0000, 0.2500, 0.8750) and C at (0.0000, 0.0000, 0.0000).

As for the crystal system: tetragonal. The formation enthalpy at 0 K comes out at 0.9077 eV per atom.